K3V2CdO8: relaxed, PBE+U.

**Fermi-level density of states**: 10.8 states/eV per cell
**E_tot**: -5.938 eV/atom

Cell and atoms, written as CIF:
```
data_K3V2CdO8
_cell_length_a 5.9890
_cell_length_b 5.9890
_cell_length_c 7.6945
_cell_angle_alpha 90.00
_cell_angle_beta 90.00
_cell_angle_gamma 120.00
_symmetry_space_group_name_H-M 'P -3 m 1'
_symmetry_Int_Tables_number 164
_symmetry_space_group_name_Hall '-P 3 2"'
loop_
_atom_site_label
_atom_site_type_symbol
_atom_site_fract_x
_atom_site_fract_y
_atom_site_fract_z
_atom_site_occupancy
K1 K 0.0000 0.0000 0.0000 1
K2 K 0.3333 0.6667 0.6759 1
V1 V 0.3333 0.6667 0.2370 1
Cd1 Cd 0.0000 0.0000 0.5000 1
O1 O 0.1748 0.3497 0.3149 1
O2 O 0.3333 0.6667 0.0141 1
```